No. 1
DFT (GGA-PBE) results for a relaxed YTlFeTe3 crystal.

Summary:
**Space group**: P2_1/m
**Offset from the most stable computed form**: 4 meV/atom

Unit cell a=8.981 b=4.220 c=11.212 alpha=90.00 beta=110.43 gamma=90.00
Positions (direct):
Fe1 0.937 0.750 0.421
Fe2 0.063 0.250 0.579
Te1 0.433 0.750 0.143
Te2 0.944 0.750 0.185
Te3 0.759 0.250 0.443
Te4 0.241 0.750 0.557
Te5 0.056 0.250 0.815
Te6 0.567 0.250 0.857
Tl1 0.265 0.250 0.301
Tl2 0.735 0.750 0.698
Y1 0.683 0.250 0.147
Y2 0.317 0.750 0.853

=====

No. 2
DFT (GGA-PBE) results for a relaxed BeNbNiBi crystal.

Summary:
**Space group**: F-43m
**Offset from the most stable computed form**: 0 meV/atom

Unit cell a=4.519 b=4.519 c=4.519 alpha=60.00 beta=60.00 gamma=60.00
Positions (direct):
Be1 0.250 0.250 0.250
Bi1 0.000 0.000 0.000
Nb1 0.500 0.500 0.500
Ni1 0.750 0.750 0.750

=====

No. 3
DFT (GGA-PBE) results for a relaxed MgTlTcTe crystal.

Summary:
**Space group**: F-43m
**Offset from the most stable computed form**: 0 meV/atom

Unit cell a=4.860 b=4.860 c=4.860 alpha=60.00 beta=60.00 gamma=60.00
Positions (direct):
Mg1 0.750 0.750 0.750
Tc1 0.250 0.250 0.250
Te1 0.000 0.000 0.000
Tl1 0.500 0.500 0.500

=====

No. 4
DFT (GGA-PBE) results for a relaxed GdDyN2 crystal.

Summary:
**Space group**: P4/mmm
**Total DFT energy (no corrections)**: -32.53 eV for the cell shown

Unit cell a=3.485 b=3.485 c=4.928 alpha=90.00 beta=90.00 gamma=90.00
Positions (direct):
Dy1 0.500 0.500 0.500
Gd1 0.000 0.000 0.000
N1 0.500 0.500 0.000
N2 0.000 0.000 0.500

=====

No. 5
DFT (GGA-PBE) results for a relaxed AcPaPO crystal.

Summary:
**Space group**: P4/nmm
**Offset from the most stable computed form**: 305 meV/atom

Unit cell a=4.495 b=4.495 c=8.846 alpha=90.00 beta=90.00 gamma=90.00
Positions (direct):
Ac1 0.750 0.250 0.500
Ac2 0.250 0.750 0.500
O1 0.750 0.250 0.000
O2 0.250 0.750 0.000
P1 0.750 0.750 0.255
P2 0.250 0.250 0.745
Pa1 0.250 0.250 0.107
Pa2 0.750 0.750 0.893

=====

No. 6
DFT (GGA-PBE) results for a relaxed GdDyCSe crystal.

Summary:
**Space group**: P6_3mc
**Total DFT energy (no corrections)**: -52.96 eV for the cell shown

Unit cell a=3.784 b=3.784 c=13.371 alpha=90.00 beta=90.00 gamma=120.00
Positions (direct):
C1 0.000 0.000 0.499
C2 0.000 0.000 0.999
Dy1 0.333 0.667 0.399
Dy2 0.667 0.333 0.899
Gd1 0.333 0.667 0.100
Gd2 0.667 0.333 0.600
Se1 0.667 0.333 0.252
Se2 0.333 0.667 0.752